# 1
Dy2PaAu: optimized geometry, PBE.

The structure belongs to space group R-3m (No. 166, hexagonal axes); the cell edges are 3.2765, 3.2765 and 33.7633 Å and the angles 90.00°, 90.00° and 120.00°. The distinct sites, in fractional coordinates, are Dy at (0.0000, 0.0000, 0.0958), Pa at (0.0000, 0.0000, 0.0000) and Au at (0.0000, 0.0000, 0.5000).

Its density of states at the Fermi level is 14.11 states/eV/cell. The value obtained for the energy of formation is 70 meV per atom.



# 2
DyPaAu2: optimized geometry, PBE.

The structure belongs to space group R-3m (No. 166, hexagonal axes); the cell edges are 3.8311, 3.8311 and 24.2665 Å and the angles 90.00°, 90.00° and 120.00°. The distinct sites, in fractional coordinates, are Dy at (0.0000, 0.0000, 0.0000), Pa at (0.0000, 0.0000, 0.5000) and Au at (0.0000, 0.0000, 0.2497).

Its density of states at the Fermi level is 16.58 states/eV/cell. The value obtained for the energy of formation is -342 meV per atom.



# 3
DyPaAu2: optimized geometry, PBE.

The structure belongs to space group P4/mmm (No. 123); the cell edges are 3.478, 3.478 and 7.703 Å and the angles 90.00°, 90.00° and 90.00°. The distinct sites, in fractional coordinates, are Dy at (0.000, 0.000, 0.000), Pa at (0.000, 0.000, 0.500) and Au at (0.500, 0.500, 0.240).

Its density of states at the Fermi level is 4.79 states/eV/cell. The value obtained for the energy of formation is -509 meV per atom.



# 4
DyPaAu2: optimized geometry, PBE.

The structure belongs to space group Fm-3m (No. 225); the cell edges are 7.214, 7.214 and 7.214 Å and the angles 90.00°, 90.00° and 90.00°. The distinct sites, in fractional coordinates, are Dy at (0.000, 0.000, 0.000), Pa at (0.000, 0.000, 0.500) and Au at (0.250, 0.250, 0.250).

Its density of states at the Fermi level is 22.78 states/eV/cell. The value obtained for the energy of formation is -454 meV per atom.